Record 1
RbGa2Ni2: optimized geometry, PBE.

Lattice parameters (Å, degrees): 4.647 4.647 7.120 70.95 70.95 90.00
Element x y z (fractional)
Ni  0.262  0.262  0.477
Ni  0.738  0.738  0.523
Rb  0.000  0.000  0.000
Ga  0.250  0.750  0.500
Ga  0.750  0.250  0.500

## Properties
Density in Mg/m³: 4.166
Energy above the lowest structure with this stoichiometry in eV per atom: 0.060
Raw total energy in eV/atom: -3.69
DFT formation energy in eV per atom: 0.03

---

Record 2
IrRh2Br: optimized geometry, PBE.

Lattice parameters (Å, degrees): 3.550 2.827 6.885 89.99 90.00 90.00
Element x y z (fractional)
Br  0.500  0.250  0.250
Ir  0.500  0.750  0.750
Rh  0.000  0.250  0.552
Rh  0.000  0.250  0.948

## Properties
Density in Mg/m³: 11.483
Energy above the lowest structure with this stoichiometry in eV per atom: 0.000
Raw total energy in eV/atom: -5.93
Uncorrected formation energy in eV per atom: 0.377

---

Record 3
Ce2LuSi: optimized geometry, PBE.

Lattice parameters (Å, degrees): 4.973 4.315 4.315 90.00 90.00 90.00
Element x y z (fractional)
Ce  0.000  0.500  0.000
Ce  0.000  0.000  0.500
Si  0.500  0.000  0.000
Lu  0.500  0.500  0.500

## Properties
Density in Mg/m³: 8.668
Energy above the lowest structure with this stoichiometry in eV per atom: 0.000
Raw total energy in eV/atom: -5.77
Uncorrected formation energy in eV per atom: -0.313

---

Record 4
Tl2CS3: optimized geometry, PBE.

Lattice parameters (Å, degrees): 6.595 6.595 9.524 70.07 70.07 81.18
Element x y z (fractional)
S  0.282  0.718  0.750
S  0.156  0.119  0.097
S  0.718  0.282  0.250
S  0.119  0.156  0.597
S  0.881  0.844  0.403
S  0.844  0.881  0.903
Tl  0.391  0.895  0.375
Tl  0.609  0.105  0.625
Tl  0.895  0.391  0.875
Tl  0.105  0.609  0.125
C  0.081  0.919  0.750
C  0.919  0.081  0.250

## Properties
Density in Mg/m³: 4.694
Raw total energy in eV/atom: -4.48
Uncorrected formation energy in eV per atom: -0.095

---

Record 5
Nd4TlCdO: optimized geometry, PBE.

Lattice parameters (Å, degrees): 6.889 6.899 8.950 90.00 112.64 90.00
Element x y z (fractional)
Nd  0.921  0.250  0.843
Nd  0.500  0.000  0.500
Nd  0.577  0.250  0.154
Nd  0.000  0.500  0.500
Nd  0.500  0.500  0.500
Nd  0.423  0.750  0.846
Nd  0.000  0.000  0.500
Nd  0.079  0.750  0.157
O  0.749  0.250  0.498
O  0.251  0.750  0.502
Tl  0.888  0.750  0.776
Tl  0.112  0.250  0.224
Cd  0.384  0.250  0.769
Cd  0.616  0.750  0.231

## Properties
Density in Mg/m³: 7.695
Raw total energy in eV/atom: -4.84
Uncorrected formation energy in eV per atom: -0.943

---

Record 6
Pm4Dy2Er5: optimized geometry, PBE.

Lattice parameters (Å, degrees): 3.481 14.366 8.850 57.00 101.34 90.00
Element x y z (fractional)
Pm  0.320  0.556  0.639
Pm  0.680  0.444  0.361
Pm  0.271  0.183  0.542
Pm  0.729  0.817  0.458
Er  0.500  0.000  0.000
Er  0.966  0.640  0.932
Er  0.404  0.277  0.808
Er  0.034  0.360  0.068
Er  0.596  0.723  0.192
Dy  0.357  0.899  0.714
Dy  0.643  0.101  0.286

## Properties
Density in Mg/m³: 8.013
Energy above the lowest structure with this stoichiometry in eV per atom: 0.051
Raw total energy in eV/atom: -4.48
DFT formation energy in eV per atom: 0.16

---

Record 7
Rb3CaHo2Se6: optimized geometry, PBE.

Lattice parameters (Å, degrees): 7.372 7.372 8.396 98.42 98.42 120.00
Element x y z (fractional)
Rb  0.164  0.836  0.500
Rb  0.836  0.164  0.500
Rb  0.500  0.500  0.500
Se  0.590  0.934  0.803
Se  0.410  0.066  0.197
Se  0.721  0.721  0.196
Se  0.279  0.279  0.804
Se  0.934  0.590  0.803
Se  0.066  0.410  0.197
Ca  0.000  0.000  0.000
Ho  0.667  0.333  0.000
Ho  0.333  0.667  0.000

## Properties
Density in Mg/m³: 4.835
Raw total energy in eV/atom: -4.50
Uncorrected formation energy in eV per atom: -1.589

---

Record 8
ZrMnAu2C: optimized geometry, PBE.

Lattice parameters (Å, degrees): 4.491 4.491 3.823 90.00 90.00 90.00
Element x y z (fractional)
Zr  0.500  0.500  0.500
Mn  0.000  0.000  0.500
Au  0.500  0.000  0.000
Au  0.000  0.500  0.000
C  0.000  0.000  0.000

## Properties
Density in Mg/m³: 11.888
Raw total energy in eV/atom: -6.21
DFT formation energy in eV per atom: 0.49

---

Record 9
Ti2GePd: optimized geometry, PBE.

Lattice parameters (Å, degrees): 3.349 3.349 7.402 76.92 76.92 60.00
Element x y z (fractional)
Ge  0.500  0.500  0.500
Ti  0.755  0.755  0.735
Ti  0.245  0.245  0.265
Pd  0.000  0.000  0.000

## Properties
Density in Mg/m³: 6.575
Raw total energy in eV/atom: -6.62
DFT formation energy in eV per atom: -0.22

---

Record 10
Pd2RhS: optimized geometry, PBE.

Lattice parameters (Å, degrees): 3.664 3.664 9.686 79.10 79.10 90.00
Element x y z (fractional)
Pd  0.624  0.125  0.250
Pd  0.375  0.376  0.750
Pd  0.126  0.625  0.250
Pd  0.875  0.874  0.750
S  0.250  0.750  0.500
S  0.500  0.500  0.000
Rh  0.750  0.250  0.500
Rh  0.000  0.000  0.000

## Properties
Density in Mg/m³: 9.219
Raw total energy in eV/atom: -5.25
Uncorrected formation energy in eV per atom: 0.213

---

Record 11
Dy5HoTh: optimized geometry, PBE.

Lattice parameters (Å, degrees): 8.690 6.487 11.760 105.86 114.08 47.94
Element x y z (fractional)
Dy  0.613  0.358  0.167
Dy  0.971  0.642  0.667
Dy  0.839  0.322  0.750
Dy  0.161  0.678  0.250
Dy  0.236  0.297  0.966
Dy  0.764  0.703  0.034
Dy  0.468  0.297  0.534
Dy  0.532  0.703  0.466
Dy  0.387  0.642  0.833
Dy  0.029  0.358  0.333
Th  0.000  0.000  0.000
Th  0.000  0.000  0.500
Ho  0.493  0.014  0.750
Ho  0.507  0.986  0.250

## Properties
Density in Mg/m³: 8.938
Raw total energy in eV/atom: -4.87
DFT formation energy in eV per atom: 0.13

---

Record 12
Sr3Ca2UN6: optimized geometry, PBE.

Lattice parameters (Å, degrees): 6.220 6.220 6.302 99.58 99.58 119.88
Site moments in Bohr magnetons follow the coordinates.
Element x y z (fractional)
Sr  0.169  0.831  0.500  0.02
Sr  0.500  0.500  0.500  0.02
Sr  0.831  0.169  0.500  0.02
N  0.780  0.780  0.213  0.21
N  0.637  0.928  0.788  0.21
N  0.072  0.363  0.212  0.21
N  0.363  0.072  0.212  0.21
N  0.220  0.220  0.787  0.21
N  0.928  0.637  0.788  0.21
U  0.000  0.000  0.000  0.08
Ca  0.334  0.666  0.000  0.01
Ca  0.666  0.334  0.000  0.01

## Properties
Density in Mg/m³: 5.539
Raw total energy in eV/atom: -6.73
Uncorrected formation energy in eV per atom: -0.871

---

The calculation returns the following magnetization values, one per record and in order: 0.0; 0.0; 0.0; 0.0; 0.0; 0.0; 0.0; 0.0; 0.0; 0.0; 0.0; 2.1 μB per formula unit.
The calculation returns the following N(E_F) values, one per record and in order: 2.68; 5.51; 8.89; 0.00; 10.25; 17.59; 9.40; 5.85; 3.69; 9.75; 20.82; 13.69 states/eV/cell.